No. 1
Pm4InGa: relaxed, PBE.

The structure in POSCAR format:
```
Pm4InGa
1.0
5.160 0.000 -0.001
0.000 5.161 -0.002
0.004 0.006 7.430
Pm Ga In
4 1 1
Direct
0.001 0.497 0.735
0.001 0.497 0.262
0.501 0.997 0.261
0.501 0.998 0.735
0.001 0.997 0.498
0.501 0.497 0.998
```

Results
formation energy from the elements: -0.17 eV per atom
D(E_F): 9.7 states/eV/cell

No. 2
Pm3InGa2: relaxed, PBE.

The structure in POSCAR format:
```
Pm3InGa2
1.0
5.274 0.000 0.000
-2.637 4.567 0.000
0.000 0.000 12.973
Ga Pm In
4 6 2
Direct
0.000 0.000 0.000
0.000 0.000 0.500
0.333 0.667 0.170
0.667 0.333 0.830
0.667 0.333 0.075
0.000 0.000 0.240
0.667 0.333 0.583
0.333 0.667 0.417
0.000 0.000 0.760
0.333 0.667 0.925
0.333 0.667 0.669
0.667 0.333 0.331
```

Results
formation energy from the elements: -0.53 eV per atom
D(E_F): 5.1 states/eV/cell

No. 3
Pm3InGa2: relaxed, PBE.

The structure in POSCAR format:
```
Pm3InGa2
1.0
3.702 0.000 0.000
0.000 3.702 0.000
0.000 0.000 11.376
Ga Pm In
2 3 1
Direct
0.500 0.500 0.160
0.500 0.500 0.840
0.000 0.000 0.680
0.000 0.000 0.000
0.000 0.000 0.320
0.500 0.500 0.500
```

Results
formation energy from the elements: -0.54 eV per atom
D(E_F): 3.5 states/eV/cell

No. 4
Pm2InGa6: relaxed, PBE.

The structure in POSCAR format:
```
Pm2InGa6
1.0
5.817 0.228 -0.396
-0.390 5.551 -2.523
0.439 -0.574 6.069
Ga Pm In
6 2 1
Direct
0.345 0.630 0.815
0.345 0.185 0.815
0.655 0.370 0.185
0.345 0.185 0.370
0.655 0.815 0.630
0.655 0.815 0.185
0.856 0.333 0.667
0.144 0.667 0.333
0.000 0.000 0.000
```

Results
formation energy from the elements: -0.47 eV per atom
D(E_F): 1.6 states/eV/cell

No. 5
PmIn2Ga: relaxed, PBE.

The structure in POSCAR format:
```
PmIn2Ga
1.0
4.679 0.000 0.000
2.339 4.052 0.000
2.339 1.351 5.477
In Ga Pm
2 1 1
Direct
0.227 0.227 0.318
0.773 0.773 0.682
0.500 0.500 0.500
0.000 0.000 0.000
```

Results
formation energy from the elements: -0.25 eV per atom
D(E_F): 1.6 states/eV/cell

No. 6
Pm5In2Ga: relaxed, PBE.

The structure in POSCAR format:
```
Pm5In2Ga
1.0
5.218 0.000 0.000
0.000 6.819 0.000
0.000 0.000 13.216
Pm Ga In
10 2 4
Direct
0.500 0.338 0.597
0.000 0.000 0.500
0.000 0.872 0.220
0.000 0.500 0.000
0.500 0.838 0.903
0.000 0.628 0.720
0.000 0.128 0.780
0.500 0.162 0.097
0.000 0.372 0.280
0.500 0.662 0.403
0.000 0.500 0.500
0.000 0.000 0.000
0.500 0.374 0.850
0.500 0.126 0.350
0.500 0.626 0.150
0.500 0.874 0.650
```

Results
formation energy from the elements: -0.41 eV per atom
D(E_F): 13.5 states/eV/cell

No. 7
Pm8InGa2: relaxed, PBE.

The structure in POSCAR format:
```
Pm8InGa2
1.0
4.963 0.000 0.000
0.000 8.070 0.146
-2.481 -3.301 8.049
In Pm Ga
1 8 2
Direct
0.500 0.000 0.000
0.169 0.253 0.338
0.323 0.051 0.645
0.600 0.456 0.200
0.050 0.738 0.100
0.831 0.747 0.662
0.400 0.544 0.800
0.677 0.949 0.355
0.950 0.262 0.900
0.213 0.664 0.425
0.787 0.336 0.575
```

Results
formation energy from the elements: -0.28 eV per atom
D(E_F): 12.4 states/eV/cell

No. 8
Pm2InGa3: relaxed, PBE.

The structure in POSCAR format:
```
Pm2InGa3
1.0
-3.737 0.754 4.777
4.395 -2.320 3.557
2.485 7.793 -3.072
Pm In Ga
4 2 6
Direct
0.250 0.750 0.500
0.752 0.752 0.000
0.750 0.250 0.500
0.248 0.248 0.000
0.333 0.333 0.667
0.667 0.667 0.333
0.162 0.677 0.839
0.162 0.162 0.324
0.323 0.838 0.161
0.838 0.323 0.161
0.677 0.162 0.839
0.838 0.838 0.676
```

Results
formation energy from the elements: -0.59 eV per atom
D(E_F): 6.4 states/eV/cell

No. 9
Pm6In6Ga: relaxed, PBE.

The structure in POSCAR format:
```
Pm6In6Ga
1.0
6.462 -0.001 0.000
-3.231 5.596 0.000
0.000 0.000 10.754
In Pm Ga
6 6 1
Direct
0.500 0.500 0.251
0.500 0.500 0.749
0.000 0.500 0.251
0.500 0.000 0.251
0.000 0.500 0.749
0.500 0.000 0.749
0.000 0.000 0.293
0.667 0.333 0.000
0.333 0.667 0.000
0.000 0.000 0.707
0.333 0.667 0.500
0.667 0.333 0.500
0.000 0.000 0.000
```

Results
formation energy from the elements: -0.31 eV per atom
D(E_F): 14.9 states/eV/cell

No. 10
Pm3In3Ga: relaxed, PBE.

The structure in POSCAR format:
```
Pm3In3Ga
1.0
-0.663 -4.469 -0.424
4.339 -3.246 3.142
-8.039 -2.281 12.339
In Pm Ga
6 6 2
Direct
0.155 0.230 0.461
0.888 0.146 0.078
0.005 0.219 0.772
0.112 0.854 0.922
0.995 0.781 0.228
0.845 0.770 0.539
0.510 0.361 0.620
0.389 0.296 0.926
0.490 0.639 0.380
0.731 0.769 0.769
0.269 0.231 0.231
0.611 0.704 0.074
0.778 0.072 0.372
0.222 0.928 0.628
```

Results
formation energy from the elements: -0.49 eV per atom
D(E_F): 13.1 states/eV/cell

No. 11
Pm5InGa2: relaxed, PBE.

The structure in POSCAR format:
```
Pm5InGa2
1.0
-4.156 -6.703 -0.599
6.675 -4.016 -1.372
-0.452 4.207 8.285
Pm Ga In
10 4 2
Direct
0.816 0.974 0.290
0.474 0.316 0.290
0.500 0.500 0.000
0.684 0.184 0.710
0.184 0.026 0.710
0.316 0.816 0.290
0.974 0.474 0.290
0.026 0.526 0.710
0.000 0.000 0.000
0.526 0.684 0.710
0.619 0.119 0.000
0.881 0.619 0.000
0.381 0.881 0.000
0.119 0.381 0.000
0.750 0.750 0.500
0.250 0.250 0.500
```

Results
formation energy from the elements: -0.44 eV per atom
D(E_F): 16.2 states/eV/cell

No. 12
Pm2InGa2: relaxed, PBE.

The structure in POSCAR format:
```
Pm2InGa2
1.0
-3.408 1.427 0.616
-1.681 -4.038 0.053
2.005 1.631 7.317
Ga Pm In
2 2 1
Direct
0.000 0.202 0.404
0.000 0.798 0.596
0.500 0.374 0.748
0.500 0.626 0.252
0.000 0.000 0.000
```

Results
formation energy from the elements: -0.61 eV per atom
D(E_F): 2.1 states/eV/cell

No. 13
Pm3In2Ga2: relaxed, PBE.

The structure in POSCAR format:
```
Pm3In2Ga2
1.0
-2.674 3.143 0.109
0.528 -2.057 -5.891
-5.310 -4.674 4.500
In Pm Ga
2 3 2
Direct
0.963 0.926 0.661
0.037 0.074 0.339
0.692 0.385 0.655
0.308 0.615 0.345
0.500 0.000 0.000
0.186 0.372 0.943
0.814 0.628 0.057
```

Results
formation energy from the elements: -0.55 eV per atom
D(E_F): 5.4 states/eV/cell

No. 14
PmIn2Ga: relaxed, PBE.

The structure in POSCAR format:
```
PmIn2Ga
1.0
3.782 0.000 0.000
0.000 3.782 0.000
0.000 0.000 7.046
Ga Pm In
1 1 2
Direct
0.500 0.500 0.000
0.500 0.500 0.500
0.000 0.000 0.786
0.000 0.000 0.214
```

Results
formation energy from the elements: -0.27 eV per atom
D(E_F): 3.9 states/eV/cell

No. 15
Pm2InGa2: relaxed, PBE.

The structure in POSCAR format:
```
Pm2InGa2
1.0
-0.874 2.259 -3.841
-7.240 -0.640 1.270
0.090 6.369 3.724
In Pm Ga
2 4 4
Direct
0.000 0.500 0.500
0.000 0.000 0.000
0.500 0.327 0.173
0.500 0.173 0.673
0.500 0.827 0.327
0.500 0.673 0.827
0.000 0.876 0.624
0.000 0.124 0.376
0.000 0.624 0.124
0.000 0.376 0.876
```

Results
formation energy from the elements: -0.63 eV per atom
D(E_F): 6.1 states/eV/cell

No. 16
Pm5In2Ga2: relaxed, PBE.

The structure in POSCAR format:
```
Pm5In2Ga2
1.0
7.852 0.000 0.000
0.000 8.031 0.000
0.000 -4.016 8.253
Pm In Ga
10 4 4
Direct
0.181 0.440 0.262
0.681 0.322 0.262
0.319 0.678 0.738
0.000 0.000 0.000
0.819 0.822 0.262
0.819 0.560 0.738
0.181 0.178 0.738
0.319 0.940 0.262
0.681 0.060 0.738
0.500 0.500 0.000
0.500 0.278 0.557
0.000 0.222 0.443
0.000 0.778 0.557
0.500 0.722 0.443
0.385 0.114 0.000
0.115 0.614 0.000
0.615 0.886 0.000
0.885 0.386 0.000
```

Results
formation energy from the elements: -0.45 eV per atom
D(E_F): 15.4 states/eV/cell

No. 17
Pm4InGa: relaxed, PBE.

The structure in POSCAR format:
```
Pm4InGa
1.0
5.266 0.000 -2.350
0.000 6.941 0.000
-0.383 0.000 9.884
Ga Pm In
2 8 2
Direct
0.205 0.250 0.548
0.795 0.750 0.452
0.614 0.250 0.448
0.089 0.515 0.758
0.386 0.750 0.552
0.319 0.750 0.122
0.089 0.985 0.758
0.681 0.250 0.878
0.911 0.485 0.242
0.911 0.015 0.242
0.316 0.250 0.081
0.684 0.750 0.919
```

Results
formation energy from the elements: -0.36 eV per atom
D(E_F): 12.2 states/eV/cell

No. 18
Pm2InGa: relaxed, PBE.

The structure in POSCAR format:
```
Pm2InGa
1.0
-2.290 3.355 3.442
1.590 0.097 5.081
2.726 4.180 1.857
Pm Ga In
2 1 1
Direct
0.750 0.750 0.750
0.250 0.250 0.250
0.000 0.000 0.000
0.500 0.500 0.500
```

Results
formation energy from the elements: -0.51 eV per atom
D(E_F): 1.5 states/eV/cell

No. 19
Pm4In2Ga: relaxed, PBE.

The structure in POSCAR format:
```
Pm4In2Ga
1.0
5.078 0.000 1.587
2.291 4.532 1.587
-0.093 -0.057 9.218
In Ga Pm
2 1 4
Direct
0.249 0.249 0.254
0.751 0.751 0.746
0.000 0.000 0.000
0.125 0.125 0.626
0.875 0.875 0.374
0.624 0.624 0.128
0.376 0.376 0.872
```

Results
formation energy from the elements: -0.33 eV per atom
D(E_F): 8.2 states/eV/cell

No. 20
Pm12In5Ga2: relaxed, PBE.

The structure in POSCAR format:
```
Pm12In5Ga2
1.0
8.728 0.000 0.000
-4.364 7.694 1.628
0.000 -0.786 8.491
Ga Pm In
2 12 5
Direct
0.697 0.000 0.000
0.303 0.000 0.000
0.029 0.673 0.850
0.135 0.721 0.412
0.051 0.101 0.839
0.414 0.279 0.588
0.971 0.327 0.150
0.586 0.721 0.412
0.865 0.279 0.588
0.462 0.924 0.710
0.644 0.673 0.850
0.356 0.327 0.150
0.538 0.076 0.290
0.949 0.899 0.161
0.355 0.709 0.091
0.745 0.489 0.288
0.645 0.291 0.909
0.255 0.511 0.712
0.000 0.000 0.500
```

Results
formation energy from the elements: -0.21 eV per atom
D(E_F): 21.2 states/eV/cell

No. 21
Pm2In4Ga: relaxed, PBE.

The structure in POSCAR format:
```
Pm2In4Ga
1.0
-5.036 3.776 -0.344
1.455 1.390 -5.974
-0.881 -6.295 1.652
Ga In Pm
1 4 2
Direct
0.786 0.786 0.571
0.286 0.286 0.071
0.786 0.286 0.071
0.286 0.786 0.071
0.786 0.786 0.072
0.286 0.786 0.571
0.786 0.286 0.571
```

Results
formation energy from the elements: -0.36 eV per atom
D(E_F): 4.1 states/eV/cell

No. 22
Pm2In3Ga2: relaxed, PBE.

The structure in POSCAR format:
```
Pm2In3Ga2
1.0
4.262 0.000 0.000
0.000 4.148 0.000
0.000 -2.074 10.046
In Pm Ga
3 2 2
Direct
0.000 0.000 0.000
0.500 0.576 0.152
0.500 0.424 0.848
0.000 0.168 0.336
0.000 0.832 0.664
0.500 0.715 0.430
0.500 0.285 0.570
```

Results
formation energy from the elements: -0.45 eV per atom
D(E_F): 2.9 states/eV/cell

Number 1: spin magnetization 0.0005 μB per atom. Number 2: spin magnetization 0.0000 μB per atom. Number 3: spin magnetization 0.0000 μB per atom. Number 4: spin magnetization 0.0000 μB per atom. Number 5: spin magnetization 0.0000 μB per atom. Number 6: spin magnetization 0.0000 μB per atom. Number 7: spin magnetization 0.0000 μB per atom. Number 8: spin magnetization 0.0000 μB per atom. Number 9: spin magnetization 0.0000 μB per atom. Number 10: spin magnetization 0.0000 μB per atom. Number 11: spin magnetization 0.0000 μB per atom. Number 12: spin magnetization 0.0000 μB per atom. Number 13: spin magnetization 0.0000 μB per atom. Number 14: spin magnetization 0.0006 μB per atom. Number 15: spin magnetization 0.0000 μB per atom. Number 16: spin magnetization 0.0000 μB per atom. Number 17: spin magnetization 0.0000 μB per atom. Number 18: spin magnetization 0.0000 μB per atom. Number 19: spin magnetization 0.0000 μB per atom. Number 20: spin magnetization 0.0001 μB per atom. Number 21: spin magnetization 0.0000 μB per atom. Number 22: spin magnetization 0.0000 μB per atom.